1.
A relaxed SnBIr3 crystal. Source: Alexandria via LeMat-Bulk, functional PBE.

Cell and atoms, written as POSCAR:
```
SnBIr3
1.0
4.8968 0.0000 0.0000
0.0000 4.8968 0.0000
0.0000 0.0000 4.8968
Sn B Ir
1 1 3
direct
0.0000 0.0000 0.0000 Sn
0.5000 0.5000 0.5000 B
0.0000 0.0000 0.5000 Ir
0.0000 0.5000 0.0000 Ir
0.5000 0.0000 0.0000 Ir
```

Results
As for the symmetry: Pm-3m (221). The energy above the most stable polymorph in this dataset is 2.737 eV/atom.

2.
A relaxed SnB3Ir crystal. Source: Alexandria via LeMat-Bulk, functional PBE.

Cell and atoms, written as POSCAR:
```
SnB3Ir
1.0
4.1988 0.0000 0.0000
0.0000 4.1988 0.0000
0.0000 0.0000 4.1988
Sn B Ir
1 3 1
direct
0.0000 0.0000 0.0000 Sn
0.0000 0.5000 0.5000 B
0.5000 0.0000 0.5000 B
0.5000 0.5000 0.0000 B
0.5000 0.5000 0.5000 Ir
```

Results
As for the symmetry: Pm-3m (221). The energy above the most stable polymorph in this dataset is 0.000 eV/atom.

3.
A relaxed SnBIr2 crystal. Source: Alexandria via LeMat-Bulk, functional PBE.

Cell and atoms, written as POSCAR:
```
SnBIr2
1.0
1.7217 0.9940 5.8928
-1.7217 0.9940 5.8928
0.0000 -1.9880 5.8928
Sn B Ir
1 1 2
direct
0.0000 0.0000 0.0000 Sn
0.1669 0.1669 0.1669 B
0.5524 0.5524 0.5524 Ir
0.7764 0.7764 0.7764 Ir
```

Results
As for the symmetry: R3m (160). The energy above the most stable polymorph in this dataset is 0.000 eV/atom.

4.
A relaxed Sn3BIr3 crystal. Source: Alexandria via LeMat-Bulk, functional PBE.

Cell and atoms, written as POSCAR:
```
Sn3BIr3
1.0
3.5793 -5.8909 0.0000
3.5793 5.8909 0.0000
-2.0573 0.0000 6.2224
Sn B Ir
6 2 6
direct
0.2021 0.7979 0.0000 Sn
0.2574 0.7426 0.5000 Sn
0.3536 0.3536 0.1575 Sn
0.6464 0.6464 0.8425 Sn
0.7426 0.2574 0.5000 Sn
0.7979 0.2021 0.0000 Sn
0.1431 0.1431 0.5356 B
0.8569 0.8569 0.4644 B
0.0037 0.0037 0.2143 Ir
0.1952 0.4370 0.7536 Ir
0.4370 0.1952 0.7536 Ir
0.5630 0.8048 0.2464 Ir
0.8048 0.5630 0.2464 Ir
0.9963 0.9963 0.7857 Ir
```

Results
As for the symmetry: C2/m (12).

5.
A relaxed SnB3Ir crystal. Source: Alexandria via LeMat-Bulk, functional PBE.

Cell and atoms, written as POSCAR:
```
SnB3Ir
1.0
4.3405 0.0000 0.0000
0.0000 4.3405 0.0000
0.0000 0.0000 4.3405
Sn B Ir
1 3 1
direct
0.0000 0.0000 0.0000 Sn
0.0000 0.0000 0.5000 B
0.0000 0.5000 0.0000 B
0.5000 0.0000 0.0000 B
0.5000 0.5000 0.5000 Ir
```

Results
As for the symmetry: Pm-3m (221). The energy above the most stable polymorph in this dataset is 1.676 eV/atom.

6.
A relaxed SnBIr3 crystal. Source: Alexandria via LeMat-Bulk, functional PBE.

Cell and atoms, written as POSCAR:
```
SnBIr3
1.0
4.1927 0.0000 0.0000
0.0000 4.1927 0.0000
0.0000 0.0000 4.1927
Sn B Ir
1 1 3
direct
0.0000 0.0000 0.0000 Sn
0.5000 0.5000 0.5000 B
0.0000 0.5000 0.5000 Ir
0.5000 0.0000 0.5000 Ir
0.5000 0.5000 0.0000 Ir
```

Results
As for the symmetry: Pm-3m (221). The energy above the most stable polymorph in this dataset is 0.000 eV/atom.

7.
A relaxed Sn2BIr crystal. Source: Alexandria via LeMat-Bulk, functional PBE.

Cell and atoms, written as POSCAR:
```
Sn2BIr
1.0
-2.8405 2.8405 5.5819
2.8405 -2.8405 5.5819
2.8405 2.8405 -5.5819
Sn B Ir
4 2 2
direct
0.0770 0.6250 0.9520 Sn
0.3750 0.3270 0.4520 Sn
0.6730 0.1250 0.0480 Sn
0.8750 0.9230 0.5480 Sn
0.0000 0.0000 0.0000 B
0.7500 0.2500 0.5000 B
0.2500 0.7500 0.5000 Ir
0.5000 0.5000 0.0000 Ir
```

Results
As for the symmetry: I-42d (122).

8.
A relaxed SnBIr2 crystal. Source: Alexandria via LeMat-Bulk, functional PBE.

Cell and atoms, written as POSCAR:
```
SnBIr2
1.0
-2.7106 2.7106 4.9993
2.7106 -2.7106 4.9993
2.7106 2.7106 -4.9993
Sn B Ir
2 2 4
direct
0.0000 0.0000 0.0000 Sn
0.7500 0.2500 0.5000 Sn
0.2500 0.7500 0.5000 B
0.5000 0.5000 0.0000 B
0.2211 0.6250 0.0961 Ir
0.3750 0.4711 0.5961 Ir
0.5289 0.1250 0.9039 Ir
0.8750 0.7789 0.4039 Ir
```

Results
As for the symmetry: I-42d (122). The energy above the most stable polymorph in this dataset is 0.269 eV/atom.

Number 1: formation energy from the elements 2.7779 eV per atom, electronic total energy -23.4 eV per cell. Number 2: formation energy from the elements 0.9733 eV per atom, electronic total energy -28.0 eV per cell. Number 3: formation energy from the elements -0.0691 eV per atom, electronic total energy -28.7 eV per cell. Number 4: formation energy from the elements -0.1132 eV per atom, electronic total energy -92.1 eV per cell. Number 5: formation energy from the elements 2.6496 eV per atom, electronic total energy -19.6 eV per cell. Number 6: formation energy from the elements 0.0409 eV per atom, electronic total energy -37.1 eV per cell. Number 7: formation energy from the elements 0.6163 eV per atom, electronic total energy -42.2 eV per cell. Number 8: formation energy from the elements 0.2002 eV per atom, electronic total energy -55.2 eV per cell.